Entry 1:
Below is a relaxed Pm2Y6ErTm3 crystal, with properties calculated at the GGA-PBE level.

The structure in POSCAR format:
```
Pm2Y6ErTm3
1.0
3.083 -5.335 0.000
3.083 5.335 0.000
-2.049 0.000 11.614
Pm Y Er Tm
2 6 1 3
direct
0.167 0.833 0.000
0.833 0.167 0.000
0.083 0.415 0.747
0.252 0.252 0.253
0.415 0.083 0.747
0.585 0.917 0.253
0.748 0.748 0.747
0.917 0.585 0.253
0.500 0.500 0.000
0.000 0.000 0.500
0.334 0.666 0.500
0.666 0.334 0.500
```

Formation energy from the elements = 0.0237 eV/atom
Spin magnetization = 0.00 μB/f.u.
Space-group type = No. 12

***

Entry 2:
Below is a relaxed Pm3Y2Er6Tm crystal, with properties calculated at the GGA-PBE level.

The structure in POSCAR format:
```
Pm3Y2Er6Tm
1.0
3.081 -5.331 0.000
3.081 5.331 0.000
-2.044 0.000 11.566
Pm Y Er Tm
3 2 6 1
direct
0.000 0.000 0.000
0.333 0.667 0.000
0.667 0.333 0.000
0.167 0.833 0.500
0.833 0.167 0.500
0.085 0.418 0.252
0.250 0.250 0.748
0.418 0.085 0.252
0.582 0.915 0.748
0.750 0.750 0.252
0.915 0.582 0.748
0.500 0.500 0.500
```

Formation energy from the elements = 0.0222 eV/atom
Spin magnetization = 0.00 μB/f.u.
Space-group type = No. 12

***

Entry 3:
Below is a relaxed PmYErTm3 crystal, with properties calculated at the GGA-PBE level.

The structure in POSCAR format:
```
PmYErTm3
1.0
2.498 -7.492 0.000
2.498 7.492 0.000
0.000 0.000 9.995
Pm Y Er Tm
2 2 2 6
direct
0.001 0.999 0.750
0.999 0.001 0.250
0.332 0.668 0.750
0.668 0.332 0.250
0.500 0.500 0.000
0.500 0.500 0.500
0.167 0.833 0.000
0.167 0.833 0.500
0.333 0.667 0.250
0.667 0.333 0.750
0.833 0.167 0.000
0.833 0.167 0.500
```

Formation energy from the elements = 0.0261 eV/atom
Spin magnetization = 0.00 μB/f.u.
Space-group type = No. 63

***

Entry 4:
Below is a relaxed Pm2YEr2Tm2 crystal, with properties calculated at the GGA-PBE level.

The structure in POSCAR format:
```
Pm2YEr2Tm2
1.0
5.833 -1.749 0.000
5.833 1.749 0.000
-3.804 0.000 11.096
Pm Y Er Tm
2 1 2 2
direct
0.173 0.173 0.086
0.827 0.827 0.914
0.500 0.500 0.500
0.275 0.275 0.637
0.725 0.725 0.363
0.050 0.050 0.771
0.950 0.950 0.229
```

Formation energy from the elements = 0.0897 eV/atom
Spin magnetization = 0.00 μB/f.u.
Space-group type = No. 12

***

Entry 5:
Below is a relaxed Pm4Y2Er2Tm crystal, with properties calculated at the GGA-PBE level.

The structure in POSCAR format:
```
Pm4Y2Er2Tm
1.0
7.606 -2.534 0.000
7.606 2.534 0.000
-2.537 0.000 7.599
Pm Y Er Tm
4 2 2 1
direct
0.055 0.055 0.330
0.278 0.278 0.669
0.722 0.722 0.331
0.945 0.945 0.670
0.388 0.388 0.330
0.612 0.612 0.670
0.167 0.167 0.000
0.833 0.833 0.000
0.500 0.500 0.000
```

Formation energy from the elements = 0.0218 eV/atom
Spin magnetization = 0.00 μB/f.u.
Space-group type = No. 12

***

Entry 6:
Below is a relaxed PmY6Er2Tm crystal, with properties calculated at the GGA-PBE level.

The structure in POSCAR format:
```
PmY6Er2Tm
1.0
4.555 -7.458 0.000
4.555 7.458 0.000
-1.486 0.000 9.540
Pm Y Er Tm
2 12 4 2
direct
0.094 0.906 0.750
0.906 0.094 0.250
0.003 0.794 0.381
0.074 0.522 0.182
0.206 0.997 0.119
0.253 0.619 0.556
0.381 0.747 0.944
0.478 0.926 0.318
0.522 0.074 0.682
0.619 0.253 0.056
0.747 0.381 0.444
0.794 0.003 0.881
0.926 0.478 0.818
0.997 0.206 0.619
0.208 0.308 0.954
0.308 0.208 0.454
0.692 0.792 0.546
0.792 0.692 0.046
0.476 0.524 0.250
0.524 0.476 0.750
```

Formation energy from the elements = 0.1220 eV/atom
Spin magnetization = 0.00 μB/f.u.
Space-group type = No. 15

***

It is found that the uncorrected energy values, taken in the order of the records, are -5.50 -4.90 -4.84 -4.77 -5.04 -5.59 eV/atom.